# 1
Material: KCuTe3As
Method: DFT, PBE
State: optimized geometry

Properties
The calculated density is 4.89 g cm⁻³. The value obtained for the raw formation energy is -28.2 kJ/mol of atoms. For the total DFT energy (no corrections), the calculation gives -3.5034 eV per atom.

POSCAR file:
```
KCuTe3As
1.0
9.914 0.000 0.000
0.000 4.116 0.000
-3.679 0.000 9.331
K Cu Te As
2 2 6 2
Direct
0.198 0.250 0.237
0.802 0.750 0.763
0.067 0.250 0.579
0.933 0.750 0.421
0.129 0.250 0.858
0.215 0.750 0.540
0.467 0.750 0.161
0.533 0.250 0.839
0.785 0.250 0.460
0.871 0.750 0.142
0.337 0.750 0.864
0.663 0.250 0.136
```

# 2
Material: K2Cu2Te4As
Method: DFT, PBE
State: optimized geometry

Properties
The calculated density is 5.01 g cm⁻³. The value obtained for the raw formation energy is -38.9 kJ/mol of atoms. For the total DFT energy (no corrections), the calculation gives -3.4700 eV per atom.

POSCAR file:
```
K2Cu2Te4As
1.0
8.020 -2.084 0.000
8.020 2.084 0.000
-2.995 0.000 7.840
K Cu Te As
2 2 4 1
Direct
0.132 0.132 0.057
0.868 0.868 0.943
0.303 0.303 0.512
0.697 0.697 0.488
0.193 0.193 0.680
0.476 0.476 0.722
0.524 0.524 0.278
0.807 0.807 0.320
0.000 0.000 0.500
```